Record 1
## LaBeZnPt2 (PBE)

Data for crystalline LaBeZnPt2 at its relaxed geometry.

Unit cell a=4.567 b=4.567 c=4.360 alpha=90.00 beta=90.00 gamma=90.00
Fractional positions:
Pt: 0.500 0.000 0.000
Be: 0.000 0.000 0.000
Zn: 0.000 0.000 0.500
La: 0.500 0.500 0.500
Pt: 0.000 0.500 0.000

## Properties
* DOS at the Fermi energy: 1.98 states/eV per cell
* DFT total energy: -25.0 eV for the cell shown
* formation enthalpy at 0 K: -0.60 eV per atom
* offset from the most stable computed form: 0.153 eV/atom

Record 2
## LaBeZnPt2 (PBE)

Data for crystalline LaBeZnPt2 at its relaxed geometry.

Unit cell a=4.043 b=4.043 c=6.371 alpha=108.50 beta=108.50 gamma=90.00
Fractional positions:
Be: 0.750 0.250 0.500
Pt: 0.378 0.378 0.756
Pt: 0.622 0.622 0.244
La: 0.000 0.000 0.000
Zn: 0.250 0.750 0.500

## Properties
* DOS at the Fermi energy: 1.66 states/eV per cell
* DFT total energy: -25.8 eV for the cell shown
* formation enthalpy at 0 K: -0.76 eV per atom
* offset from the most stable computed form: 0.000 eV/atom